# Sm2DyHfSb4 | Alexandria via LeMat-Bulk | PBE-GGA | relaxed
data_Sm2DyHfSb4
_symmetry_space_group_name_H-M 'P 1 2/m 1'
_symmetry_Int_Tables_number 10
_symmetry_space_group_name_Hall '-P 2y'
_cell_length_a 7.527
_cell_length_b 4.346
_cell_length_c 7.532
_cell_angle_alpha 90.00
_cell_angle_beta 109.31
_cell_angle_gamma 90.00
loop_
_atom_site_label
_atom_site_type_symbol
_atom_site_fract_x
_atom_site_fract_y
_atom_site_fract_z
Sm1 Sm 0.000 0.000 0.000
Sm2 Sm 0.500 0.500 0.000
Dy1 Dy 0.000 0.500 0.500
Hf1 Hf 0.500 0.000 0.500
Sb1 Sb 0.255 0.000 0.738
Sb2 Sb 0.265 0.500 0.268
# VASP energy ... -48.2 eV per cell

***

# TbDy2HfSb4 | Alexandria via LeMat-Bulk | PBE-GGA | relaxed
data_TbDy2HfSb4
_symmetry_space_group_name_H-M 'P 1 2/m 1'
_symmetry_Int_Tables_number 10
_symmetry_space_group_name_Hall '-P 2y'
_cell_length_a 7.462
_cell_length_b 4.308
_cell_length_c 7.463
_cell_angle_alpha 90.00
_cell_angle_beta 109.30
_cell_angle_gamma 90.00
loop_
_atom_site_label
_atom_site_type_symbol
_atom_site_fract_x
_atom_site_fract_y
_atom_site_fract_z
Tb1 Tb 0.000 0.000 0.000
Dy1 Dy 0.500 0.000 0.500
Dy2 Dy 0.500 0.500 0.000
Hf1 Hf 0.000 0.500 0.500
Sb1 Sb 0.238 0.000 0.737
Sb2 Sb 0.244 0.500 0.257
# VASP energy ... -47.8 eV per cell

***

# Tb2DyHfSb4 | Alexandria via LeMat-Bulk | PBE-GGA | relaxed
data_Tb2DyHfSb4
_symmetry_space_group_name_H-M 'P 1 2/m 1'
_symmetry_Int_Tables_number 10
_symmetry_space_group_name_Hall '-P 2y'
_cell_length_a 7.470
_cell_length_b 4.311
_cell_length_c 7.470
_cell_angle_alpha 90.00
_cell_angle_beta 109.30
_cell_angle_gamma 90.00
loop_
_atom_site_label
_atom_site_type_symbol
_atom_site_fract_x
_atom_site_fract_y
_atom_site_fract_z
Tb1 Tb 0.000 0.000 0.000
Tb2 Tb 0.500 0.500 0.000
Dy1 Dy 0.000 0.500 0.500
Hf1 Hf 0.500 0.000 0.500
Sb1 Sb 0.256 0.000 0.742
Sb2 Sb 0.263 0.500 0.264
# VASP energy ... -47.9 eV per cell

***

Number 1: uncorrected formation energy -0.966 eV/atom, spin magnetization 0.00 μB per atom. Number 2: uncorrected formation energy -0.945 eV/atom, spin magnetization 0.00 μB per atom. Number 3: uncorrected formation energy -0.951 eV/atom, spin magnetization 0.00 μB per atom.